Entry 1:
VASP calculation (PBEsol) on an optimized crystal structure of ScRe2NiBi.

The structure in POSCAR format:
```
ScRe2NiBi
1.0
4.518 0.000 0.000
0.000 4.518 0.000
0.000 0.000 4.610
Sc Re Ni Bi
1 2 1 1
Cartesian
0.000 0.000 0.000 Sc
0.000 2.259 2.305 Re
2.259 0.000 2.305 Re
0.000 0.000 2.305 Ni
2.259 2.259 0.000 Bi
```

Output
calculated total energy = -7.81 eV per atom
formation energy from the elements = 0.93 eV/atom

Entry 2:
VASP calculation (PBEsol) on an optimized crystal structure of CaTi2O4.

The structure in POSCAR format:
```
CaTi2O4
1.0
5.818 0.000 0.000
0.000 11.284 0.000
0.000 0.000 5.037
Ca Ti O
4 8 16
Cartesian
1.455 2.821 0.200 Ca
1.455 8.463 1.707 Ca
4.364 2.821 3.330 Ca
4.364 8.463 4.837 Ca
0.000 0.000 2.518 Ti
0.000 5.642 2.518 Ti
1.455 5.751 4.926 Ti
1.455 11.174 4.926 Ti
2.909 0.000 2.518 Ti
2.909 5.642 2.518 Ti
4.364 0.109 0.111 Ti
4.364 5.533 0.111 Ti
0.023 1.203 4.219 O
0.023 4.439 4.219 O
1.455 1.030 1.644 O
1.455 4.611 1.644 O
1.455 6.850 3.297 O
1.455 10.076 3.297 O
2.886 1.203 4.219 O
2.886 4.439 4.219 O
2.932 6.845 0.817 O
2.932 10.080 0.817 O
4.364 1.208 1.739 O
4.364 4.434 1.739 O
4.364 6.672 3.393 O
4.364 10.253 3.393 O
5.795 6.845 0.817 O
5.795 10.080 0.817 O
```

Output
distance to the lowest polymorph of the same formula = 2.5 kJ/mol of atoms
calculated total energy = -8.68 eV per atom

Entry 3:
VASP calculation (PBEsol) on an optimized crystal structure of CaMgAu2.

The structure in POSCAR format:
```
CaMgAu2
1.0
4.418 0.000 0.000
0.000 1.830 5.325
0.000 -1.830 5.325
Ca Mg Au
1 1 2
Cartesian
0.000 0.000 0.000 Ca
2.209 0.000 7.549 Mg
0.000 0.000 2.871 Au
2.209 0.000 4.615 Au
```

Output
calculated total energy = -3.55 eV per atom
formation energy from the elements = -0.62 eV/atom